1.
MnIn2Ni, optimized geometry, DFT PBE; spin magnetization = 3.93 μB per cell; ΔE_f = 105 meV per atom; space-group type = P4mm; DOS at the Fermi energy = 2.71 states/eV/f.u.
1.0
3.119 0.000 0.000
0.000 3.119 0.000
0.000 0.000 7.477
Mn In Ni
1 2 1
Direct
0.000 0.000 0.000
0.000 0.000 0.392
0.500 0.500 0.749
0.500 0.500 0.170

2.
Mg2BeIn, optimized geometry, DFT PBE; spin magnetization = 0.00 μB per cell; ΔE to the lowest computed polymorph = 105 meV per atom; ΔE_f = 278 meV per atom; space-group type = Pmm2; DOS at the Fermi energy = 2.16 states/eV/f.u.
1.0
3.380 0.000 0.000
0.000 3.919 0.000
0.000 0.000 5.925
Mg Be In
2 1 1
Direct
0.000 0.000 0.000
0.500 0.500 0.266
0.000 0.000 0.492
0.500 0.500 0.733

Q: Look up the DOS at the Fermi energy of the first one.
A: 2.71 states/eV/f.u.